The following is a PBEsol calculation of SrTl5 after structural relaxation, from Alexandria.

Output
The value obtained for the polymorph energy (0 for the lowest one) is 0.068 eV/atom. As for the formation energy: -13.37 kJ/mol of atoms. The density of states at the Fermi level comes out at 3.2 states/eV per cell.

a = 6.3376 Å, b = 6.3376 Å, c = 6.3376 Å
α = 60.00°, β = 60.00°, γ = 60.00°
Positions (direct):
Sr (0.0000, 0.0000, 0.0000)
Tl (0.1264, 0.6245, 0.6245)
Tl (0.2500, 0.2500, 0.2500)
Tl (0.6245, 0.1264, 0.6245)
Tl (0.6245, 0.6245, 0.1264)
Tl (0.6245, 0.6245, 0.6245)